ZrSnRu3 | meta-GGA SCAN | PBEsol geometry

```
ZrSnRu3
1.0
4.682 0.000 0.000
0.000 4.682 0.000
0.000 0.000 4.682
Ru Sn Zr
3 1 1
Cartesian
2.341 0.000 0.000
0.000 0.000 2.341
0.000 2.341 0.000
2.341 2.341 2.341
0.000 0.000 0.000
```

Computed properties:
* D(E_F): 5.09 states/eV/cell
* total energy: -32.721 eV per atom
* total moment: 0.53 μB/cell